(1)
A plane-wave DFT calculation with PBE was carried out for a geometry-optimized LaCoPt2 structure.

```
data_LaCoPt2
_chemical_formula_sum 'La1 Co1 Pt2'
_cell_length_a 4.146
_cell_length_b 4.146
_cell_length_c 4.206
_cell_angle_alpha 90.00
_cell_angle_beta 90.00
_cell_angle_gamma 90.00
_space_group_name_H-M_alt 'P 4/m m m'
_space_group_IT_number 123
_space_group_name_Hall '-P 4 2'
loop_
_atom_site_label
_atom_site_fract_x
_atom_site_fract_y
_atom_site_fract_z
La1 0.000 0.000 0.000
Co1 0.500 0.500 0.000
Pt1 0.000 0.500 0.500
```

E_form ... -0.475 eV/atom

(2)
A plane-wave DFT calculation with PBE was carried out for a geometry-optimized TbEr3 structure.

```
data_TbEr3
_chemical_formula_sum 'Tb4 Er12'
_cell_length_a 7.931
_cell_length_b 7.931
_cell_length_c 7.931
_cell_angle_alpha 90.00
_cell_angle_beta 90.00
_cell_angle_gamma 90.00
_space_group_name_H-M_alt 'F m -3 m'
_space_group_IT_number 225
_space_group_name_Hall '-F 4 2 3'
loop_
_atom_site_label
_atom_site_fract_x
_atom_site_fract_y
_atom_site_fract_z
Tb1 0.000 0.000 0.000
Er1 0.000 0.000 0.500
Er2 0.250 0.250 0.250
```

E_form ... 0.142 eV/atom
Distance to the lowest polymorph of the same formula ... 140.0 meV/atom

(3)
A plane-wave DFT calculation with PBE was carried out for a geometry-optimized Sr2PmAu4 structure.

```
data_Sr2PmAu4
_chemical_formula_sum 'Sr4 Pm2 Au8'
_cell_length_a 5.435
_cell_length_b 5.435
_cell_length_c 13.666
_cell_angle_alpha 90.00
_cell_angle_beta 90.00
_cell_angle_gamma 90.00
_space_group_name_H-M_alt 'I 4/m m m'
_space_group_IT_number 139
_space_group_name_Hall '-I 4 2'
loop_
_atom_site_label
_atom_site_fract_x
_atom_site_fract_y
_atom_site_fract_z
Sr1 0.000 0.000 0.221
Pm1 0.000 0.000 0.500
Au1 0.000 0.500 0.107
```

E_form ... -0.621 eV/atom

(4)
A plane-wave DFT calculation with PBE was carried out for a geometry-optimized PrEr2ThSc structure.

```
data_PrEr2ThSc
_chemical_formula_sum 'Pr2 Er4 Th2 Sc2'
_cell_length_a 7.813
_cell_length_b 5.007
_cell_length_c 7.867
_cell_angle_alpha 90.00
_cell_angle_beta 90.62
_cell_angle_gamma 90.00
_space_group_name_H-M_alt 'P 1 21/m 1'
_space_group_IT_number 11
loop_
_space_group_symop_operation_xyz
'x,y,z'
'-x,-y,-z'
'-x,y+1/2,-z'
'x,-y+1/2,z'
loop_
_atom_site_label
_atom_site_fract_x
_atom_site_fract_y
_atom_site_fract_z
Pr1 0.249 0.250 0.245
Er1 0.159 0.750 0.946
Er2 0.347 0.750 0.549
Th1 0.055 0.250 0.650
Sc1 0.449 0.250 0.848
```

E_form ... 0.058 eV/atom

(5)
A plane-wave DFT calculation with PBE was carried out for a geometry-optimized SrMn2Si structure.

```
data_SrMn2Si
_chemical_formula_sum 'Sr2 Mn4 Si2'
_cell_length_a 3.416
_cell_length_b 3.585
_cell_length_c 13.663
_cell_angle_alpha 90.00
_cell_angle_beta 90.00
_cell_angle_gamma 90.00
_space_group_name_H-M_alt 'I m m 2'
_space_group_IT_number 44
loop_
_space_group_symop_operation_xyz
'x,y,z'
'-x,-y,z'
'-x,y,z'
'x,-y,z'
'x+1/2,y+1/2,z+1/2'
'-x+1/2,-y+1/2,z+1/2'
'-x+1/2,y+1/2,z+1/2'
'x+1/2,-y+1/2,z+1/2'
loop_
_atom_site_label
_atom_site_fract_x
_atom_site_fract_y
_atom_site_fract_z
Sr1 0.000 0.000 0.000
Mn1 0.000 0.000 0.660
Mn2 0.000 0.500 0.799
Si1 0.000 0.500 0.286
```

Raw formation energy ... 337 meV per atom

(6)
A plane-wave DFT calculation with PBE was carried out for a geometry-optimized AlZn2Cd structure.

```
data_AlZn2Cd
_chemical_formula_sum 'Al1 Zn2 Cd1'
_cell_length_a 4.150
_cell_length_b 4.150
_cell_length_c 4.090
_cell_angle_alpha 90.00
_cell_angle_beta 90.00
_cell_angle_gamma 90.00
_space_group_name_H-M_alt 'P 4/m m m'
_space_group_IT_number 123
_space_group_name_Hall '-P 4 2'
loop_
_atom_site_label
_atom_site_fract_x
_atom_site_fract_y
_atom_site_fract_z
Al1 0.000 0.000 0.000
Zn1 0.000 0.500 0.500
Cd1 0.500 0.500 0.000
```

E_form ... 0.102 eV/atom
Distance to the lowest polymorph of the same formula ... 42.7 meV/atom

(7)
A plane-wave DFT calculation with PBE was carried out for a geometry-optimized Na4PuO4 structure.

```
data_Na4PuO4
_chemical_formula_sum 'Na8 Pu2 O8'
_cell_length_a 11.470
_cell_length_b 3.482
_cell_length_c 8.252
_cell_angle_alpha 90.00
_cell_angle_beta 122.08
_cell_angle_gamma 90.00
_space_group_name_H-M_alt 'C 1 2/m 1'
_space_group_IT_number 12
loop_
_space_group_symop_operation_xyz
'x,y,z'
'-x,-y,-z'
'-x,y,-z'
'x,-y,z'
'x+1/2,y+1/2,z'
'-x+1/2,-y+1/2,-z'
'-x+1/2,y+1/2,-z'
'x+1/2,-y+1/2,z'
loop_
_atom_site_label
_atom_site_fract_x
_atom_site_fract_y
_atom_site_fract_z
Na1 0.128 0.000 0.402
Na2 0.202 0.500 0.815
Pu1 0.000 0.500 0.000
O1 0.076 0.000 0.899
O2 0.191 0.500 0.271
```

Distance to the lowest polymorph of the same formula ... 0.0 meV/atom
Raw formation energy ... -1946 meV per atom

(8)
A plane-wave DFT calculation with PBE was carried out for a geometry-optimized La2GaCl structure.

```
data_La2GaCl
_chemical_formula_sum 'La6 Ga3 Cl3'
_cell_length_a 4.6383
_cell_length_b 4.6383
_cell_length_c 26.1592
_cell_angle_alpha 90.00
_cell_angle_beta 90.00
_cell_angle_gamma 120.00
_space_group_name_H-M_alt 'R -3 m'
_space_group_IT_number 166
_space_group_name_Hall '-R 3 2"'
loop_
_atom_site_label
_atom_site_fract_x
_atom_site_fract_y
_atom_site_fract_z
La1 0.0000 0.0000 0.1082
Ga1 0.0000 0.0000 0.5000
Cl1 0.0000 0.0000 0.0000
```

Distance to the lowest polymorph of the same formula ... 178.8 meV/atom
Raw formation energy ... -864 meV per atom

(9)
A plane-wave DFT calculation with PBE was carried out for a geometry-optimized CaSbAs2 structure.

```
data_CaSbAs2
_chemical_formula_sum 'Ca1 Sb1 As2'
_cell_length_a 4.521
_cell_length_b 3.882
_cell_length_c 6.222
_cell_angle_alpha 90.00
_cell_angle_beta 95.76
_cell_angle_gamma 90.00
_space_group_name_H-M_alt 'P 1 m 1'
_space_group_IT_number 6
loop_
_space_group_symop_operation_xyz
'x,y,z'
'x,-y,z'
loop_
_atom_site_label
_atom_site_fract_x
_atom_site_fract_y
_atom_site_fract_z
Ca1 0.000 0.000 0.000
Sb1 0.396 0.500 0.590
As1 0.501 0.500 0.018
As2 0.982 0.000 0.498
```

Raw formation energy ... -457 meV per atom

(10)
A plane-wave DFT calculation with PBE was carried out for a geometry-optimized ReSiOs2 structure.

```
data_ReSiOs2
_chemical_formula_sum 'Re2 Si2 Os4'
_cell_length_a 2.840
_cell_length_b 4.736
_cell_length_c 8.582
_cell_angle_alpha 90.00
_cell_angle_beta 90.00
_cell_angle_gamma 90.00
_space_group_name_H-M_alt 'C m m 2'
_space_group_IT_number 35
loop_
_space_group_symop_operation_xyz
'x,y,z'
'-x,-y,z'
'-x,y,z'
'x,-y,z'
'x+1/2,y+1/2,z'
'-x+1/2,-y+1/2,z'
'-x+1/2,y+1/2,z'
'x+1/2,-y+1/2,z'
loop_
_atom_site_label
_atom_site_fract_x
_atom_site_fract_y
_atom_site_fract_z
Re1 0.000 0.000 0.000
Si1 0.000 0.500 0.239
Os1 0.000 0.000 0.463
Os2 0.000 0.500 0.738
```

Raw formation energy ... 430 meV per atom

(11)
A plane-wave DFT calculation with PBE was carried out for a geometry-optimized CuNi4Pd structure.

```
data_CuNi4Pd
_chemical_formula_sum 'Cu2 Ni8 Pd2'
_cell_length_a 8.118
_cell_length_b 3.605
_cell_length_c 5.127
_cell_angle_alpha 90.00
_cell_angle_beta 108.28
_cell_angle_gamma 90.00
_space_group_name_H-M_alt 'C 1 2/m 1'
_space_group_IT_number 12
loop_
_space_group_symop_operation_xyz
'x,y,z'
'-x,-y,-z'
'-x,y,-z'
'x,-y,z'
'x+1/2,y+1/2,z'
'-x+1/2,-y+1/2,-z'
'-x+1/2,y+1/2,-z'
'x+1/2,-y+1/2,z'
loop_
_atom_site_label
_atom_site_fract_x
_atom_site_fract_y
_atom_site_fract_z
Cu1 0.000 0.000 0.000
Ni1 0.168 0.500 0.327
Ni2 0.173 0.500 0.841
Pd1 0.000 0.000 0.500
```

E_form ... 0.039 eV/atom
Distance to the lowest polymorph of the same formula ... 0.0 meV/atom

(12)
A plane-wave DFT calculation with PBE was carried out for a geometry-optimized LiAcNd2S5 structure.

```
data_LiAcNd2S5
_chemical_formula_sum 'Li4 Ac4 Nd8 S20'
_cell_length_a 4.054
_cell_length_b 19.007
_cell_length_c 11.299
_cell_angle_alpha 90.00
_cell_angle_beta 90.00
_cell_angle_gamma 90.00
_space_group_name_H-M_alt 'C m c 21'
_space_group_IT_number 36
loop_
_space_group_symop_operation_xyz
'x,y,z'
'-x,-y,z+1/2'
'-x,y,z'
'x,-y,z+1/2'
'x+1/2,y+1/2,z'
'-x+1/2,-y+1/2,z+1/2'
'-x+1/2,y+1/2,z'
'x+1/2,-y+1/2,z+1/2'
loop_
_atom_site_label
_atom_site_fract_x
_atom_site_fract_y
_atom_site_fract_z
Li1 0.000 0.051 0.000
Ac1 0.000 0.294 0.537
Nd1 0.000 0.393 0.839
Nd2 0.000 0.415 0.216
S1 0.000 0.004 0.316
S2 0.000 0.133 0.538
S3 0.000 0.162 0.866
S4 0.000 0.198 0.231
S5 0.000 0.448 0.599
```

Raw formation energy ... -1864 meV per atom

Number 1: total magnetization 1.44 μB per formula unit. Number 2: total magnetization 0.01 μB per formula unit. Number 3: total magnetization 0.00 μB per formula unit. Number 4: total magnetization 0.00 μB per formula unit. Number 5: total magnetization 6.01 μB per formula unit. Number 6: total magnetization 0.00 μB per formula unit. Number 7: total magnetization 3.99 μB per formula unit. Number 8: total magnetization 0.00 μB per formula unit. Number 9: total magnetization 0.00 μB per formula unit. Number 10: total magnetization 0.45 μB per formula unit. Number 11: total magnetization 2.59 μB per formula unit. Number 12: total magnetization 0.00 μB per formula unit.